Entry P
First-principles (PBE) data for a relaxed TmZnInSe3 crystal, as listed in OQMD.

Values from the calculation:
Crystal system: orthorhombic

```
data_TmZnInSe3
_cell_length_a 14.6752
_cell_length_b 4.0786
_cell_length_c 10.9687
_cell_angle_alpha 90.00
_cell_angle_beta 90.00
_cell_angle_gamma 90.00
_space_group_name_H-M_alt 'P 1'
_space_group_IT_number 1
_space_group_name_Hall 'P 1'
loop_
_atom_site_label
_atom_site_type_symbol
_atom_site_fract_x
_atom_site_fract_y
_atom_site_fract_z
Zn1 Zn 0.9811 0.2500 0.5990
Zn2 Zn 0.0189 0.7500 0.4010
Zn3 Zn 0.4811 0.2500 0.9010
Zn4 Zn 0.5189 0.7500 0.0990
In1 In 0.7560 0.7500 0.5371
In2 In 0.7440 0.2500 0.0371
In3 In 0.2440 0.2500 0.4629
In4 In 0.2560 0.7500 0.9629
Se1 Se 0.3585 0.2500 0.7460
Se2 Se 0.4017 0.7500 0.4215
Se3 Se 0.9171 0.2500 0.3829
Se4 Se 0.9017 0.7500 0.0785
Se5 Se 0.5829 0.7500 0.8829
Se6 Se 0.6415 0.7500 0.2540
Se7 Se 0.1415 0.7500 0.2460
Se8 Se 0.0829 0.7500 0.6171
Se9 Se 0.5983 0.2500 0.5785
Se10 Se 0.0983 0.2500 0.9215
Se11 Se 0.4171 0.2500 0.1171
Se12 Se 0.8585 0.2500 0.7540
Tm1 Tm 0.0247 0.2500 0.1566
Tm2 Tm 0.4753 0.7500 0.6566
Tm3 Tm 0.5247 0.2500 0.3434
Tm4 Tm 0.9753 0.7500 0.8434
```



Entry Q
First-principles (PBE) data for a relaxed TmZnInSe3 crystal, as listed in OQMD.

Values from the calculation:
Crystal system: monoclinic

```
data_TmZnInSe3
_cell_length_a 8.9671
_cell_length_b 8.9671
_cell_length_c 8.9496
_cell_angle_alpha 103.29
_cell_angle_beta 103.29
_cell_angle_gamma 26.36
_space_group_name_H-M_alt 'P 1'
_space_group_IT_number 1
_space_group_name_Hall 'P 1'
loop_
_atom_site_label
_atom_site_type_symbol
_atom_site_fract_x
_atom_site_fract_y
_atom_site_fract_z
Zn1 Zn 0.4795 0.4795 0.7815
Zn2 Zn 0.5205 0.5205 0.2185
Se1 Se 0.5000 0.5000 0.5000
Se2 Se 0.0000 0.0000 0.0000
Se3 Se 0.6685 0.6685 0.3014
Se4 Se 0.6631 0.6631 0.8646
Se5 Se 0.3315 0.3315 0.6986
Se6 Se 0.3369 0.3369 0.1354
Tm1 Tm 0.8274 0.8274 0.9139
Tm2 Tm 0.1726 0.1726 0.0861
In1 In 0.8622 0.8622 0.4280
In2 In 0.1378 0.1378 0.5720
```



Which of them is the most stable, and which is the least stable? entry P and entry Q, in that order.



Entry P
First-principles (PBE) data for a relaxed InSiTc crystal, as listed in OQMD.

Values from the calculation:
Crystal system: cubic

```
data_InSiTc
_cell_length_a 4.2354
_cell_length_b 4.2354
_cell_length_c 4.2354
_cell_angle_alpha 60.00
_cell_angle_beta 60.00
_cell_angle_gamma 60.00
_space_group_name_H-M_alt 'P 1'
_space_group_IT_number 1
_space_group_name_Hall 'P 1'
loop_
_atom_site_label
_atom_site_type_symbol
_atom_site_fract_x
_atom_site_fract_y
_atom_site_fract_z
In1 In 0.2500 0.2500 0.2500
Si1 Si 0.0000 0.0000 0.0000
Tc1 Tc 0.7500 0.7500 0.7500
```



Entry Q
First-principles (PBE) data for a relaxed InSiTc crystal, as listed in OQMD.

Values from the calculation:
Crystal system: monoclinic

```
data_InSiTc
_cell_length_a 10.6457
_cell_length_b 10.6457
_cell_length_c 3.1498
_cell_angle_alpha 98.47
_cell_angle_beta 98.47
_cell_angle_gamma 17.01
_space_group_name_H-M_alt 'P 1'
_space_group_IT_number 1
_space_group_name_Hall 'P 1'
loop_
_atom_site_label
_atom_site_type_symbol
_atom_site_fract_x
_atom_site_fract_y
_atom_site_fract_z
In1 In 0.9299 0.9299 0.4288
In2 In 0.0701 0.0701 0.5712
Tc1 Tc 0.6626 0.6626 0.1630
Tc2 Tc 0.3374 0.3374 0.8370
Si1 Si 0.2163 0.2163 0.7164
Si2 Si 0.7837 0.7837 0.2836
```



Which of them is the most stable, and which is the least stable? entry Q and entry P, in that order.



Entry P
First-principles (PBE) data for a relaxed SmInSn crystal, as listed in OQMD.

Values from the calculation:
Crystal system: cubic

```
data_SmInSn
_cell_length_a 5.1682
_cell_length_b 5.1682
_cell_length_c 5.1682
_cell_angle_alpha 60.00
_cell_angle_beta 60.00
_cell_angle_gamma 60.00
_space_group_name_H-M_alt 'P 1'
_space_group_IT_number 1
_space_group_name_Hall 'P 1'
loop_
_atom_site_label
_atom_site_type_symbol
_atom_site_fract_x
_atom_site_fract_y
_atom_site_fract_z
Sn1 Sn 0.7500 0.7500 0.7500
In1 In 0.2500 0.2500 0.2500
Sm1 Sm 0.0000 0.0000 0.0000
```



Entry Q
First-principles (PBE) data for a relaxed SmInSn crystal, as listed in OQMD.

Values from the calculation:
Crystal system: cubic

```
data_SmInSn
_cell_length_a 5.0984
_cell_length_b 5.0984
_cell_length_c 5.0984
_cell_angle_alpha 60.00
_cell_angle_beta 60.00
_cell_angle_gamma 60.00
_space_group_name_H-M_alt 'P 1'
_space_group_IT_number 1
_space_group_name_Hall 'P 1'
loop_
_atom_site_label
_atom_site_type_symbol
_atom_site_fract_x
_atom_site_fract_y
_atom_site_fract_z
Sm1 Sm 0.2500 0.2500 0.2500
Sn1 Sn 0.0000 0.0000 0.0000
In1 In 0.7500 0.7500 0.7500
```



Which of them is the most stable, and which is the least stable? entry P and entry Q, in that order.



Entry P
First-principles (PBE) data for a relaxed SmZrIn crystal, as listed in OQMD.

Values from the calculation:
Crystal system: cubic

```
data_SmZrIn
_cell_length_a 5.0963
_cell_length_b 5.0963
_cell_length_c 5.0963
_cell_angle_alpha 60.00
_cell_angle_beta 60.00
_cell_angle_gamma 60.00
_space_group_name_H-M_alt 'P 1'
_space_group_IT_number 1
_space_group_name_Hall 'P 1'
loop_
_atom_site_label
_atom_site_type_symbol
_atom_site_fract_x
_atom_site_fract_y
_atom_site_fract_z
Sm1 Sm 0.0000 0.0000 0.0000
Zr1 Zr 0.7500 0.7500 0.7500
In1 In 0.2500 0.2500 0.2500
```



Entry Q
First-principles (PBE) data for a relaxed SmZrIn crystal, as listed in OQMD.

Values from the calculation:
Crystal system: cubic

```
data_SmZrIn
_cell_length_a 5.0295
_cell_length_b 5.0295
_cell_length_c 5.0295
_cell_angle_alpha 60.00
_cell_angle_beta 60.00
_cell_angle_gamma 60.00
_space_group_name_H-M_alt 'P 1'
_space_group_IT_number 1
_space_group_name_Hall 'P 1'
loop_
_atom_site_label
_atom_site_type_symbol
_atom_site_fract_x
_atom_site_fract_y
_atom_site_fract_z
Sm1 Sm 0.2500 0.2500 0.2500
In1 In 0.0000 0.0000 0.0000
Zr1 Zr 0.7500 0.7500 0.7500
```



Which of them is the most stable, and which is the least stable? entry Q and entry P, in that order.



Entry P
First-principles (PBE) data for a relaxed TbInSnTe3 crystal, as listed in OQMD.

Values from the calculation:
Crystal system: orthorhombic

```
data_TbInSnTe3
_cell_length_a 7.8261
_cell_length_b 7.8261
_cell_length_c 11.0680
_cell_angle_alpha 90.00
_cell_angle_beta 90.00
_cell_angle_gamma 147.25
_space_group_name_H-M_alt 'P 1'
_space_group_IT_number 1
_space_group_name_Hall 'P 1'
loop_
_atom_site_label
_atom_site_type_symbol
_atom_site_fract_x
_atom_site_fract_y
_atom_site_fract_z
Te1 Te 0.8512 0.1488 0.9692
Te2 Te 0.3917 0.6083 0.2500
Te3 Te 0.6083 0.3917 0.7500
Te4 Te 0.1488 0.8512 0.0308
Te5 Te 0.8512 0.1488 0.5308
Te6 Te 0.1488 0.8512 0.4692
Tb1 Tb 0.5000 0.5000 0.0000
Tb2 Tb 0.5000 0.5000 0.5000
In1 In 0.0351 0.9649 0.2500
In2 In 0.9649 0.0351 0.7500
Sn1 Sn 0.2615 0.7385 0.7500
Sn2 Sn 0.7385 0.2615 0.2500
```



Entry Q
First-principles (PBE) data for a relaxed TbInSnTe3 crystal, as listed in OQMD.

Values from the calculation:
Crystal system: orthorhombic

```
data_TbInSnTe3
_cell_length_a 8.0019
_cell_length_b 8.0019
_cell_length_c 12.3650
_cell_angle_alpha 90.00
_cell_angle_beta 90.00
_cell_angle_gamma 148.45
_space_group_name_H-M_alt 'P 1'
_space_group_IT_number 1
_space_group_name_Hall 'P 1'
loop_
_atom_site_label
_atom_site_type_symbol
_atom_site_fract_x
_atom_site_fract_y
_atom_site_fract_z
Te1 Te 0.3593 0.6407 0.0022
Te2 Te 0.6407 0.3593 0.5022
Te3 Te 0.0099 0.9901 0.7500
Te4 Te 0.3593 0.6407 0.4978
Te5 Te 0.9901 0.0099 0.2500
Te6 Te 0.6407 0.3593 0.9978
Tb1 Tb 0.0000 0.0000 0.5000
Tb2 Tb 0.0000 0.0000 0.0000
In1 In 0.3026 0.6974 0.2500
In2 In 0.6974 0.3026 0.7500
Sn1 Sn 0.3699 0.6301 0.7500
Sn2 Sn 0.6301 0.3699 0.2500
```



Which of them is the most stable, and which is the least stable? entry Q and entry P, in that order.



Entry P
First-principles (PBE) data for a relaxed TaInTe crystal, as listed in OQMD.

Values from the calculation:
Crystal system: cubic

```
data_TaInTe
_cell_length_a 4.7834
_cell_length_b 4.7834
_cell_length_c 4.7834
_cell_angle_alpha 60.00
_cell_angle_beta 60.00
_cell_angle_gamma 60.00
_space_group_name_H-M_alt 'P 1'
_space_group_IT_number 1
_space_group_name_Hall 'P 1'
loop_
_atom_site_label
_atom_site_type_symbol
_atom_site_fract_x
_atom_site_fract_y
_atom_site_fract_z
Te1 Te 0.7500 0.7500 0.7500
In1 In 0.2500 0.2500 0.2500
Ta1 Ta 0.0000 0.0000 0.0000
```



Entry Q
First-principles (PBE) data for a relaxed TaInTe crystal, as listed in OQMD.

Values from the calculation:
Crystal system: cubic

```
data_TaInTe
_cell_length_a 4.7826
_cell_length_b 4.7826
_cell_length_c 4.7826
_cell_angle_alpha 60.00
_cell_angle_beta 60.00
_cell_angle_gamma 60.00
_space_group_name_H-M_alt 'P 1'
_space_group_IT_number 1
_space_group_name_Hall 'P 1'
loop_
_atom_site_label
_atom_site_type_symbol
_atom_site_fract_x
_atom_site_fract_y
_atom_site_fract_z
In1 In 0.2500 0.2500 0.2500
Te1 Te 0.0000 0.0000 0.0000
Ta1 Ta 0.7500 0.7500 0.7500
```



Which of them is the most stable, and which is the least stable? entry P and entry Q, in that order.